1.
DFT (PBE) results for crystalline CsAs4I12 at its relaxed geometry.

Cell: 9.6640 9.6640 9.6640 Å, 109.47 109.47 109.47°
Atoms (fractional coordinates):
Cs  0.0000  0.0000  0.0000
As  0.0000  0.0000  0.5000
As  0.0000  0.5000  0.0000
As  0.5000  0.0000  0.0000
As  0.5000  0.5000  0.5000
I  0.1100  0.8068  0.3032
I  0.1932  0.3032  0.4964
I  0.1932  0.6968  0.8900
I  0.3032  0.1100  0.8068
I  0.3032  0.4964  0.1932
I  0.4964  0.1932  0.3032
I  0.5036  0.8068  0.6968
I  0.6968  0.5036  0.8068
I  0.6968  0.8900  0.1932
I  0.8068  0.3032  0.1100
I  0.8068  0.6968  0.5036
I  0.8900  0.1932  0.6968

Calculated values
- E (hartree per atom) = -0.0903



2.
DFT (PBE) results for crystalline SrTa2Mo at its relaxed geometry.

Cell: 4.9770 4.9770 6.5771 Å, 90.73 90.73 32.93°
Atoms (fractional coordinates):
Sr  0.0000  0.0000  0.0000
Ta  0.2450  0.2450  0.6808
Ta  0.5061  0.5061  0.4911
Mo  0.7534  0.7534  0.3041

Calculated values
- E_form (eV per atom) = 0.80
- excess energy over the best structure of this formula in the dataset (eV per formula unit) = 1.19



3.
DFT (PBE) results for crystalline Pr5Ga2Ir at its relaxed geometry.

Cell: 7.8870 12.3139 4.7529 Å, 90.00 90.00 90.00°
Atoms (fractional coordinates):
Pr  0.0000  0.0000  0.0000
Pr  0.1451  0.2920  0.0000
Pr  0.1856  0.5764  0.5000
Pr  0.3144  0.0764  0.5000
Pr  0.3549  0.7920  0.0000
Pr  0.5000  0.5000  0.0000
Pr  0.6451  0.2080  0.0000
Pr  0.6856  0.9236  0.5000
Pr  0.8144  0.4236  0.5000
Pr  0.8549  0.7080  0.0000
Ga  0.0705  0.8335  0.5000
Ga  0.4295  0.3335  0.5000
Ga  0.5705  0.6665  0.5000
Ga  0.9295  0.1665  0.5000
Ir  0.0000  0.5000  0.0000
Ir  0.5000  0.0000  0.0000

Calculated values
- E_form (eV per atom) = -0.49



no.,theoretical density (Mg/m³)
1,4.7
2,10.2
3,7.5